HoAl2Pb: relaxed, PBE-GGA.

Values from the calculation:
The calculation puts the energy of formation at -238 meV per atom. The electronic total energy is -0.3073 Ry/atom. The calculation puts the volume at 22.4 Å³/atom.

POSCAR file:
```
HoAl2Pb
1.0
4.4909 0.0000 0.0000
0.0000 4.4909 0.0000
0.0000 0.0000 4.4503
Ho Al Pb
1 2 1
Direct
0.0000 0.0000 0.0000 Ho
0.0000 0.5000 0.5000 Al
0.5000 0.0000 0.5000 Al
0.5000 0.5000 0.0000 Pb
```

***

La5TlNi2: relaxed, PBE-GGA.

Values from the calculation:
The calculation puts the energy of formation at -284 meV per atom. The electronic total energy is -0.3752 Ry/atom. The calculation puts the volume at 28.5 Å³/atom.

POSCAR file:
```
La5TlNi2
1.0
-4.0445 4.0445 6.9772
4.0445 -4.0445 6.9772
4.0445 4.0445 -6.9772
La Tl Ni
10 2 4
Direct
0.0000 0.0000 0.0000 La
0.0214 0.5214 0.8149 La
0.2066 0.0214 0.5000 La
0.2934 0.7934 0.8149 La
0.4786 0.2934 0.5000 La
0.5000 0.5000 0.0000 La
0.5214 0.7066 0.5000 La
0.7066 0.2066 0.1851 La
0.7934 0.9786 0.5000 La
0.9786 0.4786 0.1851 La
0.2500 0.2500 0.0000 Tl
0.7500 0.7500 0.0000 Tl
0.1244 0.3756 0.5000 Ni
0.3756 0.8756 0.2511 Ni
0.6244 0.1244 0.7489 Ni
0.8756 0.6244 0.5000 Ni
```

***

La7PmTm4: relaxed, PBE-GGA.

Values from the calculation:
The calculation puts the energy of formation at 12 meV per atom. The electronic total energy is -0.3490 Ry/atom. The calculation puts the volume at 34.4 Å³/atom.

POSCAR file:
```
La7PmTm4
1.0
6.4008 0.0000 0.0000
-0.0037 7.3407 0.0000
-2.1245 -0.0038 8.7982
La Pm Tm
7 1 4
Direct
0.0000 0.0000 0.0000 La
0.2239 0.9997 0.6658 La
0.2818 0.2523 0.3363 La
0.4990 0.2550 0.9960 La
0.5010 0.7450 0.0040 La
0.7182 0.7477 0.6637 La
0.7761 0.0003 0.3342 La
0.0000 0.5000 0.0000 Pm
0.2162 0.4992 0.6636 Tm
0.2764 0.7419 0.3334 Tm
0.7236 0.2581 0.6666 Tm
0.7838 0.5008 0.3364 Tm
```

***

Tl2InHPb: relaxed, PBE-GGA.

Values from the calculation:
Its excess energy over the best structure of this formula in the dataset is 0.00 kJ per mole of atoms. The electronic total energy is -0.1999 Ry/atom. The calculation puts the volume at 25.0 Å³/atom.

POSCAR file:
```
Tl2InHPb
1.0
5.0272 0.0000 0.0000
0.0000 5.0272 0.0000
0.0000 0.0000 4.9371
Tl In H Pb
2 1 1 1
Direct
0.0000 0.5000 0.0000 Tl
0.5000 0.0000 0.0000 Tl
0.0000 0.0000 0.5000 In
0.0000 0.0000 0.0000 H
0.5000 0.5000 0.5000 Pb
```

***

Ac2Ga3Cu4Pd: relaxed, PBE-GGA.

Values from the calculation:
The calculation puts the energy of formation at -400 meV per atom. The electronic total energy is -0.3151 Ry/atom. The calculation puts the volume at 19.7 Å³/atom.

POSCAR file:
```
Ac2Ga3Cu4Pd
1.0
4.3579 0.0000 0.0000
0.0000 4.3579 0.0000
0.0000 0.0000 10.3961
Ac Ga Cu Pd
2 3 4 1
Direct
0.0000 0.5000 0.2495 Ac
0.5000 0.0000 0.7505 Ac
0.0000 0.0000 0.0000 Ga
0.0000 0.5000 0.6190 Ga
0.5000 0.0000 0.3810 Ga
0.0000 0.0000 0.5000 Cu
0.0000 0.5000 0.8636 Cu
0.5000 0.0000 0.1364 Cu
0.5000 0.5000 0.5000 Cu
0.5000 0.5000 0.0000 Pd
```

***

Ce4Ni2Sn: relaxed, PBE-GGA.

Values from the calculation:
The calculation puts the energy of formation at -200 meV per atom. The electronic total energy is -0.4274 Ry/atom. The calculation puts the volume at 23.7 Å³/atom.

POSCAR file:
```
Ce4Ni2Sn
1.0
2.4338 1.4052 8.0977
-2.4338 1.4052 8.0977
0.0000 -2.8104 8.0977
Ce Ni Sn
4 2 1
Direct
0.1038 0.1038 0.1038 Ce
0.2824 0.2824 0.2824 Ce
0.7176 0.7176 0.7176 Ce
0.8962 0.8962 0.8962 Ce
0.3902 0.3902 0.3902 Ni
0.6098 0.6098 0.6098 Ni
0.5000 0.5000 0.5000 Sn
```

***

Pr6AlTe12: relaxed, PBE-GGA.

Values from the calculation:
The electronic total energy is -0.3520 Ry/atom. The calculation puts the volume at 36.1 Å³/atom.

POSCAR file:
```
Pr6AlTe12
1.0
6.8137 3.9339 4.2608
-6.8137 3.9339 4.2608
0.0000 -7.8678 4.2608
Pr Al Te
6 1 12
Direct
0.1300 0.2990 0.6397 Pr
0.2990 0.6397 0.1300 Pr
0.3603 0.8700 0.7010 Pr
0.6397 0.1300 0.2990 Pr
0.7010 0.3603 0.8700 Pr
0.8700 0.7010 0.3603 Pr
0.0000 0.0000 0.0000 Al
0.0171 0.9473 0.6842 Te
0.0527 0.3158 0.9829 Te
0.1835 0.5697 0.4370 Te
0.3158 0.9829 0.0527 Te
0.4303 0.5630 0.8165 Te
0.4370 0.1835 0.5697 Te
0.5630 0.8165 0.4303 Te
0.5697 0.4370 0.1835 Te
0.6842 0.0171 0.9473 Te
0.8165 0.4303 0.5630 Te
0.9473 0.6842 0.0171 Te
0.9829 0.0527 0.3158 Te
```